Material: CaDyCd3
Method: DFT, PBE
State: relaxed

Output
DFT formation energy = -303.6 meV/atom
volume = 530 Å³/cell
total moment = 0.00 μB per cell

abc: 3.598 29.654 4.966
angles: 90.00 90.00 90.00
Space group Cmcm (No. 63)
Unique sites:
1 Ca 0.000 0.075 0.250 x4
2 Dy 0.000 0.214 0.750 x4
3 Cd 0.000 0.323 0.750 x4
4 Cd 0.000 0.378 0.250 x4
5 Cd 0.000 0.475 0.250 x4

Material: CaDyCd
Method: DFT, PBE
State: relaxed

Output
E above lowest polymorph = 0.37 eV per formula unit
DFT formation energy = -42.7 meV/atom
volume = 90 Å³/cell
total moment = 0.00 μB per cell

abc: 5.3491 5.3491 3.6167
angles: 90.00 90.00 120.00
Space group P3m1 (No. 156)
Unique sites:
1 Ca 0.0000 0.0000 0.0000 x1
2 Dy 0.3333 0.6667 0.4393 x1
3 Cd 0.6667 0.3333 0.7206 x1

Material: Ca3Dy2Cd3
Method: DFT, PBE
State: relaxed

Output
DFT formation energy = -240.6 meV/atom
volume = 470 Å³/cell
total moment = 0.00 μB per cell

abc: 3.773 5.489 22.702
angles: 90.00 90.00 90.00
Space group Immm (No. 71)
Unique sites:
1 Ca 0.000 0.000 0.000 x2
2 Ca 0.000 0.500 0.122 x4
3 Dy 0.000 0.000 0.233 x4
4 Cd 0.000 0.000 0.500 x2
5 Cd 0.000 0.500 0.379 x4

Material: CaDy2Cd5
Method: DFT, PBE
State: relaxed

Output
DFT formation energy = -283.0 meV/atom
volume = 403 Å³/cell
total moment = 0.00 μB per cell

abc: 5.128 5.128 15.327
angles: 90.00 90.00 90.00
Space group I4/mmm (No. 139)
Unique sites:
1 Ca 0.000 0.000 0.000 x2
2 Dy 0.000 0.000 0.262 x4
3 Cd 0.000 0.000 0.500 x2
4 Cd 0.000 0.500 0.122 x8